Compound: SmZnPdRh
Source: Alexandria
Functional: PBE
Structure: relaxed

The calculation puts the energy of formation at -0.599 eV/atom.

The space group is F-43m (No. 216) and the conventional cell measures 6.6138, 6.6138 and 6.6138 Å, with angles of 90.00, 90.00 and 90.00 degrees. The inequivalent atoms are Sm at (0.0000, 0.0000, 0.0000), Zn at (0.0000, 0.0000, 0.5000), Pd at (0.2500, 0.2500, 0.7500) and Rh at (0.2500, 0.2500, 0.2500).